# 1
This record from Alexandria via LeMat-Bulk describes a geometry-optimized CoRePt3 structure. The functional is PBE.

Cell lengths 4.791, 4.791, 4.791 Å; angles 90.00, 90.00, 90.00 degrees
Space group Pm-3m (No. 221)
One atom of each set of equivalent atoms:
1 Co 0.000 0.000 0.000
2 Re 0.500 0.500 0.500
3 Pt 0.000 0.500 0.500

Calculated values
distance to the lowest polymorph of the same formula	5.450	kcal/mol of atoms
ΔE_f	821	kJ/mol of formula units
theoretical density	12537	kg/m³

# 2
This record from Alexandria via LeMat-Bulk describes a geometry-optimized CoRePt2 structure. The functional is PBE.

Cell lengths 2.7547, 2.7547, 26.3898 Å; angles 90.00, 90.00, 120.00 degrees
Space group R-3m (No. 166, hexagonal axes)
One atom of each set of equivalent atoms:
1 Co 0.0000 0.0000 0.0000
2 Re 0.0000 0.0000 0.5000
3 Pt 0.0000 0.0000 0.2522

Calculated values
distance to the lowest polymorph of the same formula	2.467	kcal/mol of atoms
ΔE_f	8	kJ/mol of formula units
theoretical density	18249	kg/m³

# 3
This record from Alexandria via LeMat-Bulk describes a geometry-optimized CoRePt2 structure. The functional is PBE.

Cell lengths 5.397, 7.911, 2.698 Å; angles 90.00, 90.00, 90.00 degrees
Space group Cmmm (No. 65)
One atom of each set of equivalent atoms:
1 Co 0.000 0.000 0.000
2 Re 0.000 0.500 0.000
3 Pt 0.250 0.250 0.500

Calculated values
distance to the lowest polymorph of the same formula	1.866	kcal/mol of atoms
ΔE_f	-2	kJ/mol of formula units
theoretical density	18315	kg/m³

# 4
This record from Alexandria via LeMat-Bulk describes a geometry-optimized CoRePt3 structure. The functional is PBE.

Cell lengths 4.512, 4.512, 4.512 Å; angles 90.00, 90.00, 90.00 degrees
Space group Pm-3m (No. 221)
One atom of each set of equivalent atoms:
1 Co 0.000 0.000 0.000
2 Re 0.500 0.500 0.500
3 Pt 0.000 0.000 0.500

Calculated values
distance to the lowest polymorph of the same formula	0.000	kcal/mol of atoms
ΔE_f	707	kJ/mol of formula units
theoretical density	15016	kg/m³

# 5
This record from Alexandria via LeMat-Bulk describes a geometry-optimized CoRePt2 structure. The functional is PBE.

Cell lengths 6.149, 6.149, 6.149 Å; angles 90.00, 90.00, 90.00 degrees
Space group F-43m (No. 216)
One atom of each set of equivalent atoms:
1 Co 0.000 0.000 0.000
2 Re 0.250 0.250 0.250
3 Pt 0.000 0.000 0.500
4 Pt 0.250 0.250 0.750

Calculated values
distance to the lowest polymorph of the same formula	7.181	kcal/mol of atoms
ΔE_f	87	kJ/mol of formula units
theoretical density	18153	kg/m³

# 6
This record from Alexandria via LeMat-Bulk describes a geometry-optimized CoRePt2 structure. The functional is PBE.

Cell lengths 3.232, 3.232, 5.528 Å; angles 90.00, 90.00, 90.00 degrees
Space group P4mm (No. 99)
One atom of each set of equivalent atoms:
1 Co 0.000 0.000 0.000
2 Re 0.500 0.500 0.785
3 Pt 0.000 0.000 0.524
4 Pt 0.500 0.500 0.247

Calculated values
distance to the lowest polymorph of the same formula	4.892	kcal/mol of atoms
ΔE_f	48	kJ/mol of formula units
theoretical density	18272	kg/m³

# 7
This record from Alexandria via LeMat-Bulk describes a geometry-optimized CoRePt structure. The functional is PBE.

Cell lengths 12.645, 3.722, 8.136 Å; angles 90.00, 98.58, 90.00 degrees
Space group C2/m (No. 12)
One atom of each set of equivalent atoms:
1 Co 0.100 0.000 0.061
2 Co 0.160 0.000 0.596
3 Re 0.226 0.000 0.339
4 Re 0.239 0.500 0.110
5 Pt 0.026 0.000 0.339
6 Pt 0.098 0.500 0.831

Calculated values
distance to the lowest polymorph of the same formula	9.864	kcal/mol of atoms
ΔE_f	100	kJ/mol of formula units
theoretical density	15445	kg/m³

# 8
This record from Alexandria via LeMat-Bulk describes a geometry-optimized CoRe2Pt structure. The functional is PBE.

Cell lengths 2.711, 2.711, 7.641 Å; angles 90.00, 90.00, 90.00 degrees
Space group P4mm (No. 99)
One atom of each set of equivalent atoms:
1 Co 0.000 0.000 0.000
2 Re 0.000 0.000 0.512
3 Re 0.500 0.500 0.784
4 Pt 0.500 0.500 0.255

Calculated values
distance to the lowest polymorph of the same formula	0.134	kcal/mol of atoms
ΔE_f	0	kJ/mol of formula units
theoretical density	18519	kg/m³